VASP calculation (GGA-PBE) on an optimized crystal structure of BaCu10P4.

abc: 12.003 12.003 9.678
angles: 85.95 85.95 18.36
Positions (direct):
Cu  0.950  0.950  0.076
P  0.609  0.609  0.961
Cu  0.050  0.050  0.924
P  0.249  0.249  0.814
Cu  0.713  0.713  0.965
Cu  0.943  0.943  0.444
Cu  0.287  0.287  0.035
P  0.380  0.380  0.509
Ba  0.857  0.857  0.784
Cu  0.277  0.277  0.567
Cu  0.167  0.167  0.570
Cu  0.282  0.282  0.302
Ba  0.143  0.143  0.216
Cu  0.402  0.402  0.275
Cu  0.057  0.057  0.556
Cu  0.723  0.723  0.433
P  0.751  0.751  0.186
Cu  0.847  0.847  0.151
Cu  0.472  0.472  0.885
Cu  0.598  0.598  0.725
Cu  0.718  0.718  0.698
Cu  0.467  0.467  0.619
Cu  0.833  0.833  0.430
Cu  0.153  0.153  0.849
Cu  0.533  0.533  0.381
Cu  0.528  0.528  0.115
P  0.008  0.008  0.258
P  0.391  0.391  0.039
P  0.992  0.992  0.742
P  0.620  0.620  0.491

Values from the calculation:
As for the space group: No. 12. For the total energy, the calculation gives -67.995 eV per formula unit. As for the total magnetization: 0.000 Bohr magnetons per cell. For the density of states at the Fermi level, the calculation gives 0.236 states/eV/atom.